Entry 1:
This record from the Alexandria database describes a relaxed K2ErScS4 crystal. The functional is PBE.

a b c (Å): 3.9335 6.8075 7.6725
angles (deg): 107.21 90.00 90.00
With the nearest neighbours (Å) after each atom.
Positions (direct):
Er  0.5000  0.5000  0.0000  6 S 2.72-2.73
K  0.5000  0.0000  0.5000  6 S 3.15
K  0.0000  0.5000  0.5000  6 S 3.21
S  0.0000  0.2580  0.8018  1 Sc 2.64, 2 Er 2.72
S  0.0000  0.7420  0.1982  1 Sc 2.64, 2 Er 2.72
S  0.5000  0.2226  0.1940  2 Sc 2.65, 1 Er 2.73
S  0.5000  0.7774  0.8060  2 Sc 2.65, 1 Er 2.73
Sc  0.0000  0.0000  0.0000  6 S 2.64-2.65

As for the symmetry: P2/m. As for the uncorrected formation energy: -1816 meV/atom. The calculation puts the magnetic moment at 0.00 μB per formula unit. The value obtained for the calculated volume is 24.5 Å³ per atom.

Entry 2:
This record from the Alexandria database describes a relaxed KEr4ScS8 crystal. The functional is PBE.

a b c (Å): 8.1566 8.1566 8.0059
angles (deg): 59.38 59.38 60.00
With the nearest neighbours (Å) after each atom.
Positions (direct):
S  0.2252  0.7593  0.2562  3 Er 2.65-2.82, 1 Sc 2.83
S  0.2357  0.2357  0.2929  3 Er 2.64, 1 K 2.85
S  0.2245  0.2245  0.7468  1 Sc 2.49, 2 Er 2.66
S  0.7576  0.7576  0.7271  4 Er 2.61-2.84
S  0.8041  0.2245  0.7468  1 Sc 2.49, 2 Er 2.66
S  0.2245  0.8041  0.7468  1 Sc 2.49, 2 Er 2.66
S  0.7593  0.2252  0.2562  3 Er 2.65-2.82, 1 Sc 2.83
S  0.7593  0.7593  0.2562  3 Er 2.65-2.82, 1 Sc 2.83
K  0.3822  0.3822  0.8534  4 S 2.81-2.85
Er  0.0053  0.0053  0.5027  6 S 2.64-2.84
Er  0.6235  0.6235  0.1296  4 S 2.61-2.65
Er  0.4868  0.0053  0.5027  6 S 2.64-2.84
Er  0.0053  0.4868  0.5027  6 S 2.64-2.84
Sc  0.0067  0.0067  0.9798  3 S 2.49

As for the symmetry: R3m. As for the uncorrected formation energy: -1893 meV/atom. The calculation puts the magnetic moment at 0.00 μB per formula unit. The value obtained for the calculated volume is 26.6 Å³ per atom.

Entry 3:
This record from the Alexandria database describes a relaxed KErSc4S8 crystal. The functional is PBE.

a b c (Å): 7.7941 7.7941 7.9653
angles (deg): 60.71 60.71 60.00
With the nearest neighbours (Å) after each atom.
Positions (direct):
S  0.7536  0.2341  0.2588  3 Sc 2.51-2.79, 1 Er 2.80
S  0.8007  0.2406  0.7180  2 Sc 2.49, 1 Er 2.66, 1 K 2.78
S  0.2288  0.2288  0.3136  3 Sc 2.50, 1 K 2.74
S  0.2406  0.8007  0.7180  2 Sc 2.49, 1 Er 2.66, 1 K 2.78
S  0.2341  0.7536  0.2588  3 Sc 2.51-2.79, 1 Er 2.80
S  0.7568  0.7568  0.7296  4 Sc 2.57-2.76
S  0.2406  0.2406  0.7180  2 Sc 2.49, 1 Er 2.66, 1 K 2.78
S  0.7536  0.7536  0.2588  3 Sc 2.51-2.79, 1 Er 2.80
Sc  0.4834  0.0046  0.5074  6 S 2.49-2.79
Sc  0.6265  0.6265  0.1204  4 S 2.51-2.57
Sc  0.0046  0.0046  0.5074  6 S 2.49-2.79
Sc  0.0046  0.4834  0.5074  6 S 2.49-2.79
Er  0.0041  0.0041  0.9877  6 S 2.66-2.80
K  0.3679  0.3679  0.8963  4 S 2.74-2.78

As for the symmetry: R3m. As for the uncorrected formation energy: -1777 meV/atom. The calculation puts the magnetic moment at 0.00 μB per formula unit. The value obtained for the calculated volume is 24.7 Å³ per atom.

Entry 4:
This record from the Alexandria database describes a relaxed K4Er3ScS8 crystal. The functional is PBE.

a b c (Å): 7.9500 8.6622 7.9500
angles (deg): 117.33 120.00 90.00
With the nearest neighbours (Å) after each atom.
Positions (direct):
S  0.7721  0.3030  0.5441  1 Sc 2.66, 2 Er 2.74
S  0.2588  0.3030  0.0309  1 Sc 2.66, 2 Er 2.74
S  0.2279  0.6970  0.9691  1 Sc 2.66, 2 Er 2.74
S  0.7339  0.7015  0.4677  3 Er 2.73
S  0.2661  0.2985  0.5323  3 Er 2.73
S  0.7721  0.3030  0.0309  1 Sc 2.66, 2 Er 2.74
S  0.2279  0.6970  0.4559  1 Sc 2.66, 2 Er 2.74
S  0.7412  0.6970  0.9691  1 Sc 2.66, 2 Er 2.74
K  0.0000  0.0000  0.0000  6 S 3.17-3.18
K  0.0000  0.0000  0.5000  6 S 3.17-3.18
K  0.5000  0.0000  0.5000  6 S 3.17-3.18
K  0.5000  0.0000  0.0000  6 S 3.24
Sc  0.0000  0.5000  0.0000  6 S 2.66
Er  0.5000  0.5000  0.5000  6 S 2.73-2.74
Er  0.0000  0.5000  0.5000  6 S 2.73-2.74
Er  0.5000  0.5000  0.0000  6 S 2.73-2.74

As for the symmetry: R-3m. As for the uncorrected formation energy: -1851 meV/atom. The calculation puts the magnetic moment at 0.00 μB per formula unit. The value obtained for the calculated volume is 25.1 Å³ per atom.

Entry 5:
This record from the Alexandria database describes a relaxed KErSeS crystal. The functional is PBE.

a b c (Å): 4.0737 4.0739 8.0367
angles (deg): 90.01 104.68 120.00
With the nearest neighbours (Å) after each atom.
Positions (direct):
S  0.5056  0.1506  0.6717  3 Er 2.76
Er  0.2977  0.5467  0.8599  3 S 2.76, 3 Se 2.86
Se  0.1054  0.9507  0.0713  3 Er 2.86
K  0.9692  0.3828  0.3667  3 Se 3.27, 3 S 3.32

As for the symmetry: R3m. As for the uncorrected formation energy: -1791 meV/atom. The calculation puts the magnetic moment at 0.00 μB per formula unit. The value obtained for the calculated volume is 27.6 Å³ per atom.

Entry 6:
This record from the Alexandria database describes a relaxed KErSiS4 crystal. The functional is PBE.

a b c (Å): 6.3740 6.6195 8.7111
angles (deg): 90.00 107.37 90.00
With the nearest neighbours (Å) after each atom.
Positions (direct):
S  0.0026  0.5009  0.2930  1 Si 2.15
S  0.4246  0.7500  0.1751  1 Si 2.11
S  0.5754  0.2500  0.8249  1 Si 2.11
S  0.9974  0.4991  0.7070  1 Si 2.15
S  0.9974  0.0009  0.7070  1 Si 2.15
S  0.5720  0.2500  0.4263  1 Si 2.12
S  0.0026  0.9991  0.2930  1 Si 2.15
S  0.4280  0.7500  0.5737  1 Si 2.12
K  0.2657  0.2500  0.0632  8 S 3.18-3.51
K  0.7343  0.7500  0.9368  8 S 3.18-3.51
Si  0.7724  0.2500  0.6689  4 S 2.11-2.15
Si  0.2276  0.7500  0.3311  4 S 2.11-2.15
Er  0.7749  0.7500  0.4505  6 S 2.73-2.81
Er  0.2251  0.2500  0.5495  6 S 2.73-2.81

As for the symmetry: P2_1/m. As for the uncorrected formation energy: -1410 meV/atom. The calculation puts the magnetic moment at 0.00 μB per formula unit. The value obtained for the calculated volume is 25.1 Å³ per atom.

Entry 7:
This record from the Alexandria database describes a relaxed K3SmEr2S6 crystal. The functional is PBE.

a b c (Å): 7.0314 7.0314 7.7370
angles (deg): 98.72 98.72 120.00
With the nearest neighbours (Å) after each atom.
Positions (direct):
Er  0.3332  0.6668  0.0000  6 S 2.75-2.76
Er  0.6668  0.3332  0.0000  6 S 2.75-2.76
Sm  0.0000  0.0000  0.0000  6 S 2.82
S  0.0673  0.4080  0.2018  2 Er 2.75, 1 Sm 2.82
S  0.9327  0.5920  0.7982  2 Er 2.75, 1 Sm 2.82
S  0.5920  0.9327  0.7982  2 Er 2.75, 1 Sm 2.82
S  0.2734  0.2734  0.7982  2 Er 2.76, 1 Sm 2.82
S  0.4080  0.0673  0.2018  2 Er 2.75, 1 Sm 2.82
S  0.7266  0.7266  0.2018  2 Er 2.76, 1 Sm 2.82
K  0.5000  0.5000  0.5000  6 S 3.18-3.23
K  0.1659  0.8341  0.5000  6 S 3.18-3.23
K  0.8341  0.1659  0.5000  6 S 3.18-3.23

As for the symmetry: C2/m. As for the uncorrected formation energy: -1880 meV/atom. The calculation puts the magnetic moment at 0.00 μB per formula unit. The value obtained for the calculated volume is 26.3 Å³ per atom.

Entry 8:
This record from the Alexandria database describes a relaxed K2SmErS4 crystal. The functional is PBE.

a b c (Å): 4.0807 7.0695 7.7425
angles (deg): 107.70 90.00 90.00
With the nearest neighbours (Å) after each atom.
Positions (direct):
S  0.0000  0.2728  0.7988  2 Er 2.77, 1 Sm 2.82
S  0.5000  0.2414  0.2041  1 Er 2.76, 2 Sm 2.82
S  0.5000  0.7586  0.7959  1 Er 2.76, 2 Sm 2.82
S  0.0000  0.7272  0.2012  2 Er 2.77, 1 Sm 2.82
Sm  0.0000  0.0000  0.0000  6 S 2.82
K  0.0000  0.5000  0.5000  6 S 3.19
K  0.5000  0.0000  0.5000  6 S 3.24-3.25
Er  0.5000  0.5000  0.0000  6 S 2.76-2.77

As for the symmetry: P2/m. As for the uncorrected formation energy: -1875 meV/atom. The calculation puts the magnetic moment at 0.00 μB per formula unit. The value obtained for the calculated volume is 26.6 Å³ per atom.

Entry 9:
This record from the Alexandria database describes a relaxed K3Sm2ErS6 crystal. The functional is PBE.

a b c (Å): 7.1037 7.1037 7.7535
angles (deg): 98.79 98.79 120.00
With the nearest neighbours (Å) after each atom.
Positions (direct):
S  0.3939  0.0679  0.2036  1 Er 2.76, 2 Sm 2.83
S  0.6061  0.9321  0.7964  1 Er 2.76, 2 Sm 2.83
S  0.7420  0.7420  0.2035  1 Er 2.76, 2 Sm 2.83
S  0.9321  0.6061  0.7964  1 Er 2.76, 2 Sm 2.83
S  0.0679  0.3939  0.2036  1 Er 2.76, 2 Sm 2.83
S  0.2580  0.2580  0.7965  1 Er 2.76, 2 Sm 2.83
Er  0.0000  0.0000  0.0000  6 S 2.76
K  0.8325  0.1675  0.5000  6 S 3.21-3.26
K  0.1675  0.8325  0.5000  6 S 3.21-3.26
K  0.5000  0.5000  0.5000  6 S 3.21-3.26
Sm  0.3334  0.6666  0.0000  6 S 2.83
Sm  0.6666  0.3334  0.0000  6 S 2.83

As for the symmetry: C2/m. As for the uncorrected formation energy: -1872 meV/atom. The calculation puts the magnetic moment at 0.00 μB per formula unit. The value obtained for the calculated volume is 26.9 Å³ per atom.

Entry 10:
This record from the Alexandria database describes a relaxed KSmEr4S8 crystal. The functional is PBE.

a b c (Å): 8.1486 8.1486 8.2448
angles (deg): 60.39 60.39 60.00
With the nearest neighbours (Å) after each atom.
Positions (direct):
S  0.7537  0.2303  0.2623  3 Er 2.64-2.86, 1 Sm 2.92
S  0.7982  0.2384  0.7249  2 Er 2.64, 1 Sm 2.72, 1 K 2.85
S  0.2384  0.7982  0.7249  2 Er 2.64, 1 Sm 2.72, 1 K 2.85
S  0.2323  0.2323  0.3030  3 Er 2.65, 1 K 2.84
S  0.2384  0.2384  0.7249  2 Er 2.64, 1 Sm 2.72, 1 K 2.85
S  0.7573  0.7573  0.7281  4 Er 2.68-2.87
S  0.7537  0.7537  0.2623  3 Er 2.64-2.86, 1 Sm 2.92
S  0.2303  0.7537  0.2623  3 Er 2.64-2.86, 1 Sm 2.92
K  0.3720  0.3720  0.8840  4 S 2.84-2.85
Er  0.4865  0.0045  0.5045  6 S 2.64-2.87
Er  0.0045  0.0045  0.5045  6 S 2.64-2.87
Er  0.0045  0.4865  0.5045  6 S 2.64-2.87
Er  0.6255  0.6255  0.1235  4 S 2.64-2.68
Sm  0.0046  0.0046  0.9861  6 S 2.72-2.92

As for the symmetry: R3m. As for the uncorrected formation energy: -1924 meV/atom. The calculation puts the magnetic moment at 0.00 μB per formula unit. The value obtained for the calculated volume is 27.8 Å³ per atom.